Entry 1:
Compound: KBa2Cu
Source: Alexandria via LeMat-Bulk
Functional: SCAN
Structure: single point on PBEsol structure

a b c (Å): 4.609 4.609 11.477
angles (deg): 78.42 78.42 60.00
Fractional coordinates of all 4 atoms:
K 0.000 0.000 0.000
Ba 0.218 0.218 0.347
Ba 0.782 0.782 0.653
Cu 0.500 0.500 0.500

Summary:
**Energy relative to the elements**: 0.065 eV per atom
**Energy above the most stable polymorph in this dataset**: 0.000 eV per atom



Entry 2:
Compound: K2BaCu
Source: Alexandria via LeMat-Bulk
Functional: SCAN
Structure: single point on PBEsol structure

a b c (Å): 4.547 4.532 11.749
angles (deg): 101.65 90.00 120.11
Fractional coordinates of all 4 atoms:
Ba 0.471 0.942 0.407
Cu 0.754 0.508 0.261
K 0.027 0.053 0.087
K 0.249 0.497 0.746

Summary:
**Energy relative to the elements**: 0.185 eV per atom



Entry 3:
Compound: KBa3Cu
Source: Alexandria via LeMat-Bulk
Functional: SCAN
Structure: single point on PBEsol structure

a b c (Å): 6.594 6.594 6.594
angles (deg): 90.00 90.00 90.00
Fractional coordinates of all 5 atoms:
K 0.000 0.000 0.000
Ba 0.000 0.500 0.000
Ba 0.000 0.000 0.500
Ba 0.500 0.000 0.000
Cu 0.500 0.500 0.500

Summary:
**Energy relative to the elements**: 1.015 eV per atom
**Energy above the most stable polymorph in this dataset**: 0.955 eV per atom



Entry 4:
Compound: KBa2Cu
Source: Alexandria via LeMat-Bulk
Functional: SCAN
Structure: single point on PBEsol structure

a b c (Å): 5.967 5.967 5.967
angles (deg): 60.00 60.00 60.00
Fractional coordinates of all 4 atoms:
Ba 0.000 0.000 0.000
Ba 0.750 0.750 0.750
Cu 0.500 0.500 0.500
K 0.250 0.250 0.250

Summary:
**Energy relative to the elements**: 0.471 eV per atom
**Energy above the most stable polymorph in this dataset**: 0.406 eV per atom



Entry 5:
Compound: BaLaCu2
Source: Alexandria via LeMat-Bulk
Functional: SCAN
Structure: single point on PBEsol structure

a b c (Å): 5.235 5.235 5.235
angles (deg): 60.00 60.00 60.00
Fractional coordinates of all 4 atoms:
Ba 0.500 0.500 0.500
Cu 0.250 0.250 0.250
Cu 0.750 0.750 0.750
La 0.000 0.000 0.000

Summary:
**Energy relative to the elements**: 0.088 eV per atom
**Energy above the most stable polymorph in this dataset**: 0.000 eV per atom



Entry 6:
Compound: BaLaCu2
Source: Alexandria via LeMat-Bulk
Functional: SCAN
Structure: single point on PBEsol structure

a b c (Å): 4.310 4.310 7.750
angles (deg): 73.85 73.85 60.00
Fractional coordinates of all 4 atoms:
Ba 0.000 0.000 0.000
Cu 0.238 0.238 0.285
Cu 0.762 0.762 0.715
La 0.500 0.500 0.500

Summary:
**Energy relative to the elements**: 0.130 eV per atom
**Energy above the most stable polymorph in this dataset**: 0.042 eV per atom



Entry 7:
Compound: BaLaCu
Source: Alexandria via LeMat-Bulk
Functional: SCAN
Structure: single point on PBEsol structure

a b c (Å): 4.094 4.094 7.285
angles (deg): 90.00 90.00 120.00
Fractional coordinates of all 3 atoms:
Ba 0.000 0.000 0.937
Cu 0.333 0.667 0.643
La 0.667 0.333 0.420

Summary:
**Energy relative to the elements**: 0.157 eV per atom
**Energy above the most stable polymorph in this dataset**: 0.000 eV per atom



Entry 8:
Compound: BaLaCu
Source: Alexandria via LeMat-Bulk
Functional: SCAN
Structure: single point on PBEsol structure

a b c (Å): 5.175 5.175 5.175
angles (deg): 60.00 60.00 60.00
Fractional coordinates of all 3 atoms:
Ba 0.500 0.500 0.500
Cu 0.250 0.250 0.250
La 0.000 0.000 0.000

Summary:
**Energy relative to the elements**: 0.220 eV per atom
**Energy above the most stable polymorph in this dataset**: 0.063 eV per atom



Entry 9:
Compound: BaLaCu2N
Source: Alexandria via LeMat-Bulk
Functional: SCAN
Structure: single point on PBEsol structure

a b c (Å): 4.385 5.440 5.440
angles (deg): 90.00 90.00 90.00
Fractional coordinates of all 5 atoms:
N 0.500 0.000 0.000
Ba 0.500 0.500 0.500
Cu 0.000 0.000 0.500
Cu 0.000 0.500 0.000
La 0.000 0.000 0.000

Summary:
**Formation energy from raw total energies**: 0.216 eV/atom



Entry 10:
Compound: Ba2LaCu3O6
Source: Alexandria via LeMat-Bulk
Functional: SCAN
Structure: single point on PBEsol structure

a b c (Å): 3.885 3.885 11.928
angles (deg): 90.00 90.00 90.00
Fractional coordinates of all 12 atoms:
O 0.000 0.500 0.632
O 0.500 0.000 0.368
O 0.500 0.000 0.632
O 0.000 0.000 0.150
O 0.000 0.500 0.368
O 0.000 0.000 0.850
Ba 0.500 0.500 0.192
Ba 0.500 0.500 0.808
Cu 0.000 0.000 0.354
Cu 0.000 0.000 0.646
Cu 0.000 0.000 0.000
La 0.500 0.500 0.500

Summary:
**Formation energy from raw total energies**: -2.102 eV/atom



Entry 11:
Compound: Ba2Sr2La2Cu6O13
Source: Alexandria via LeMat-Bulk
Functional: SCAN
Structure: single point on PBEsol structure

a b c (Å): 5.465 5.465 12.251
angles (deg): 102.63 102.63 91.11
Fractional coordinates of all 25 atoms:
Ba 0.599 0.599 0.685
Ba 0.087 0.087 0.685
Sr 0.899 0.899 0.308
Sr 0.408 0.408 0.308
La 0.252 0.252 0.004
La 0.752 0.752 0.004
Cu 0.177 0.675 0.852
Cu 0.675 0.177 0.852
Cu 0.327 0.831 0.158
Cu 0.831 0.327 0.158
Cu 0.508 0.987 0.495
Cu 0.987 0.508 0.495
O 0.089 0.561 0.649
O 0.561 0.089 0.649
O 0.386 0.957 0.344
O 0.957 0.386 0.344
O 0.435 0.935 0.870
O 0.935 0.435 0.870
O 0.933 0.933 0.866
O 0.434 0.434 0.869
O 0.570 0.070 0.140
O 0.070 0.570 0.140
O 0.068 0.068 0.136
O 0.573 0.573 0.146
O 0.737 0.737 0.474

Summary:
**Formation energy from raw total energies**: -2.078 eV/atom



Entry 12:
Compound: BaLaTiCuO6
Source: Alexandria via LeMat-Bulk
Functional: SCAN
Structure: single point on PBEsol structure

a b c (Å): 3.907 5.560 21.955
angles (deg): 90.00 90.00 90.00
Fractional coordinates of all 40 atoms:
Ba 0.000 0.750 0.196
Ba 0.000 0.250 0.065
Ba 0.000 0.750 0.935
Ba 0.000 0.250 0.804
La 0.000 0.750 0.679
La 0.000 0.250 0.560
La 0.000 0.750 0.440
La 0.000 0.250 0.321
Ti 0.500 0.750 0.065
Ti 0.500 0.250 0.194
Ti 0.500 0.750 0.806
Ti 0.500 0.250 0.935
Cu 0.500 0.750 0.560
Cu 0.500 0.250 0.682
Cu 0.500 0.250 0.440
Cu 0.500 0.750 0.318
O 0.000 0.250 0.197
O 0.000 0.750 0.065
O 0.000 0.250 0.935
O 0.000 0.750 0.803
O 0.000 0.250 0.675
O 0.000 0.750 0.561
O 0.000 0.250 0.439
O 0.000 0.750 0.325
O 0.500 0.999 0.130
O 0.500 0.500 0.000
O 0.500 0.001 0.870
O 0.500 0.516 0.741
O 0.500 0.001 0.621
O 0.500 0.500 0.500
O 0.500 0.999 0.379
O 0.500 0.484 0.259
O 0.500 0.501 0.130
O 0.500 0.000 0.000
O 0.500 0.499 0.870
O 0.500 0.984 0.741
O 0.500 0.499 0.621
O 0.500 0.501 0.379
O 0.500 0.000 0.500
O 0.500 0.016 0.259

Summary:
**Formation energy from raw total energies**: -2.817 eV/atom